Sr2LiCuP2: optimized geometry, PBE.

Computed properties:
Total DFT energy (no corrections) (eV per atom): -4.189

Lattice parameters (Å, degrees): 4.2259 4.2259 8.3101 90.00 90.00 120.00
Closest atoms and distances in Å follow each position.
Space group P-6m2 (No. 187)
Unique sites:
Sr1 0.0000 0.0000 0.2491 x2  6 P 3.20-3.21, 3 Li 3.20, 3 Cu 3.21
Li1 0.6667 0.3333 0.0000 x1  3 P 2.44
Cu1 0.3333 0.6667 0.5000 x1  3 P 2.44
P1 0.3333 0.6667 0.0000 x1  3 Li 2.44
P2 0.6667 0.3333 0.5000 x1  3 Cu 2.44